No. 1
PBE K2CuI4, optimized geometry; crystal system = monoclinic; energy = -2.665 eV/atom; formation energy from raw total energies = -0.8809 eV per atom; space group = P2_1/m, No. 11
1.0
8.449 0.000 0.000
0.000 6.972 0.000
-2.911 0.000 9.655
K Cu I
4 2 8
Direct
0.200 0.250 0.422 K
0.237 0.250 0.940 K
0.763 0.750 0.060 K
0.800 0.750 0.578 K
0.267 0.750 0.193 Cu
0.733 0.250 0.807 Cu
0.088 0.750 0.369 I
0.113 0.750 0.929 I
0.500 0.006 0.261 I
0.500 0.494 0.261 I
0.500 0.506 0.739 I
0.500 0.994 0.739 I
0.887 0.250 0.071 I
0.912 0.250 0.631 I

=====

No. 2
PBE K2CuI3, optimized geometry; crystal system = monoclinic; energy = -2.831 eV/atom; formation energy from raw total energies = -1.0069 eV per atom; space group = C2/c, No. 15
1.0
6.858 -4.300 0.000
6.858 4.300 0.000
-3.735 0.000 8.530
K Cu I
4 2 6
Direct
0.030 0.651 0.841 K
0.349 0.970 0.659 K
0.651 0.030 0.341 K
0.970 0.349 0.159 K
0.387 0.613 0.250 Cu
0.613 0.387 0.750 Cu
0.090 0.910 0.250 I
0.306 0.380 0.554 I
0.380 0.306 0.054 I
0.620 0.694 0.946 I
0.694 0.620 0.446 I
0.910 0.090 0.750 I

=====

No. 3
PBE KCu4I8, optimized geometry; crystal system = trigonal; energy = -2.451 eV/atom; formation energy from raw total energies = -0.1528 eV per atom; space group = R-3m, No. 166
1.0
4.282 2.472 6.772
-4.282 2.472 6.772
0.000 -4.945 6.772
K Cu I
1 4 8
Direct
0.000 0.000 0.000 K
0.000 0.500 0.500 Cu
0.500 0.000 0.500 Cu
0.500 0.500 0.000 Cu
0.500 0.500 0.500 Cu
0.262 0.262 0.262 I
0.269 0.269 0.714 I
0.269 0.714 0.269 I
0.286 0.731 0.731 I
0.714 0.269 0.269 I
0.731 0.286 0.731 I
0.731 0.731 0.286 I
0.738 0.738 0.738 I